Model one:
Compound: Ni2Rh3
Source: Alexandria
Functional: PBE-GGA
Structure: optimized geometry

Cell lengths 2.690, 2.690, 9.170 Å; angles 98.44, 98.44, 90.00 degrees
Fractional coordinates of all 5 atoms:
Ni 0.098 0.098 0.196
Ni 0.902 0.902 0.804
Rh 0.500 0.500 0.000
Rh 0.304 0.304 0.607
Rh 0.696 0.696 0.393

Results
Total magnetic moment, μB per formula unit: 0.03
Density of states at the Fermi level, states/eV/f.u.: 9.409
SG: I4/mmm

---

Model two:
Compound: Ni2Rh3
Source: Alexandria
Functional: PBE-GGA
Structure: optimized geometry

Cell lengths 4.922, 4.922, 4.922 Å; angles 50.43, 50.43, 50.43 degrees
Fractional coordinates of all 5 atoms:
Ni 0.093 0.093 0.093
Ni 0.907 0.907 0.907
Rh 0.712 0.712 0.712
Rh 0.500 0.500 0.500
Rh 0.288 0.288 0.288

Results
Total magnetic moment, μB per formula unit: 0.00
Density of states at the Fermi level, states/eV/f.u.: 10.080
SG: R-3m

---

Model three:
Compound: Ni2Rh3
Source: Alexandria
Functional: PBE-GGA
Structure: optimized geometry

Cell lengths 3.726, 4.537, 4.612 Å; angles 79.69, 66.18, 65.76 degrees
Fractional coordinates of all 5 atoms:
Ni 0.998 0.003 0.000
Ni 0.202 0.197 0.400
Rh 0.401 0.394 0.804
Rh 0.600 0.600 0.200
Rh 0.799 0.806 0.596

Results
Total magnetic moment, μB per formula unit: 1.10
Density of states at the Fermi level, states/eV/f.u.: 8.979
SG: C2/m

---

Model four:
Compound: Ni2Rh3
Source: Alexandria
Functional: PBE-GGA
Structure: optimized geometry

Cell lengths 3.912, 8.073, 8.871 Å; angles 90.00, 90.00, 90.00 degrees
Fractional coordinates of all 20 atoms:
Ni 0.250 0.145 0.469
Ni 0.250 0.355 0.969
Ni 0.750 0.855 0.531
Ni 0.750 0.645 0.031
Ni 0.750 0.544 0.692
Ni 0.750 0.956 0.192
Ni 0.250 0.456 0.308
Ni 0.250 0.044 0.808
Rh 0.250 0.639 0.538
Rh 0.250 0.861 0.038
Rh 0.750 0.361 0.462
Rh 0.750 0.139 0.962
Rh 0.750 0.125 0.657
Rh 0.750 0.375 0.157
Rh 0.250 0.875 0.343
Rh 0.250 0.625 0.843
Rh 0.250 0.341 0.686
Rh 0.250 0.159 0.186
Rh 0.750 0.659 0.314
Rh 0.750 0.841 0.814

Results
Total magnetic moment, μB per formula unit: 0.00
Density of states at the Fermi level, states/eV/f.u.: 8.776
SG: Pnma

---

model three has the most favorable energy; the next structure is 19 meV/atom above.